PuZr4N, relaxed, DFT PBE; crystal system = monoclinic; SG = P2_1/c, No. 14; raw formation energy = -302 meV/atom; final energy = -9.776 eV/atom
1.0
5.838 0.000 0.214
0.000 5.896 0.000
0.300 0.000 7.546
Zr N Pu
8 2 2
Direct
0.535 0.096 0.783
0.465 0.904 0.217
0.659 0.665 0.568
0.341 0.335 0.432
0.035 0.404 0.783
0.841 0.165 0.432
0.159 0.835 0.568
0.965 0.596 0.217
0.500 0.000 0.500
0.000 0.500 0.500
0.500 0.500 0.000
0.000 0.000 0.000